Record 1
A plane-wave DFT calculation with PBE was carried out for an optimized crystal structure of LaNd2SmH.

Lattice parameters (Å, degrees): 5.175 5.187 5.187 90.00 90.00 90.00
Atoms (fractional coordinates):
H: 0.000 0.000 0.000
Sm: 0.500 0.000 0.000
La: 0.500 0.500 0.500
Nd: 0.000 0.000 0.500
Nd: 0.000 0.500 0.000

Calculated volume ... 27.845 A^3/atom
Raw total energy ... -23.42 eV/f.u.
Magnetic moment ... 0.00 Bohr magnetons per cell

=====

Record 2
A plane-wave DFT calculation with PBE was carried out for an optimized crystal structure of MnSbH.

Lattice parameters (Å, degrees): 6.862 3.251 8.549 90.00 95.05 90.00
Atoms (fractional coordinates):
Sb: 0.272 0.000 0.586
Sb: 0.728 0.000 0.414
Sb: 0.728 0.500 0.914
Sb: 0.272 0.500 0.086
Mn: 0.922 0.500 0.636
Mn: 0.078 0.000 0.864
Mn: 0.922 0.000 0.136
Mn: 0.078 0.500 0.364
H: 0.113 0.500 0.787
H: 0.887 0.000 0.713
H: 0.887 0.500 0.213
H: 0.113 0.000 0.287

Distance to the lowest polymorph of the same formula ... 0.0134 eV/atom
Calculated volume ... 15.831 A^3/atom
Raw total energy ... -16.44 eV/f.u.
Magnetic moment ... 11.07 Bohr magnetons per cell

=====

Record 3
A plane-wave DFT calculation with PBE was carried out for an optimized crystal structure of Cr2CoP.

Lattice parameters (Å, degrees): 3.659 2.631 4.836 74.18 90.00 90.00
Atoms (fractional coordinates):
P: 0.000 0.693 0.489
Co: 0.500 0.562 0.751
Cr: 0.500 0.299 0.278
Cr: 0.000 0.946 0.982

Calculated formation energy ... -0.175 eV per atom
Calculated volume ... 11.196 A^3/atom
Raw total energy ... -32.46 eV/f.u.
Magnetic moment ... 0.19 Bohr magnetons per cell

=====

Record 4
A plane-wave DFT calculation with PBE was carried out for an optimized crystal structure of BIF3.

Lattice parameters (Å, degrees): 4.050 4.050 4.050 90.00 90.00 90.00
Atoms (fractional coordinates):
F: 0.000 0.000 0.500
F: 0.000 0.500 0.000
F: 0.500 0.000 0.000
I: 0.500 0.500 0.500
B: 0.000 0.000 0.000

Distance to the lowest polymorph of the same formula ... 2.0237 eV/atom
Calculated volume ... 13.287 A^3/atom
Raw total energy ... -14.72 eV/f.u.
ΔE_f (raw) ... -0.176 eV per atom
Magnetic moment ... 1.94 Bohr magnetons per cell

=====

Which formula does entry 3 have? Cr2CoP

=====

calculated volume of number 1 (LaNd2SmH)? 27.845 A^3/atom

=====

Copy entry 4 word for word.
A plane-wave DFT calculation with PBE was carried out for an optimized crystal structure of BIF3.

Lattice parameters (Å, degrees): 4.050 4.050 4.050 90.00 90.00 90.00
Atoms (fractional coordinates):
F: 0.000 0.000 0.500
F: 0.000 0.500 0.000
F: 0.500 0.000 0.000
I: 0.500 0.500 0.500
B: 0.000 0.000 0.000

Distance to the lowest polymorph of the same formula ... 2.0237 eV/atom
Calculated volume ... 13.287 A^3/atom
Raw total energy ... -14.72 eV/f.u.
ΔE_f (raw) ... -0.176 eV per atom
Magnetic moment ... 1.94 Bohr magnetons per cell

=====

What did the second record say?
A plane-wave DFT calculation with PBE was carried out for an optimized crystal structure of MnSbH.

Lattice parameters (Å, degrees): 6.862 3.251 8.549 90.00 95.05 90.00
Atoms (fractional coordinates):
Sb: 0.272 0.000 0.586
Sb: 0.728 0.000 0.414
Sb: 0.728 0.500 0.914
Sb: 0.272 0.500 0.086
Mn: 0.922 0.500 0.636
Mn: 0.078 0.000 0.864
Mn: 0.922 0.000 0.136
Mn: 0.078 0.500 0.364
H: 0.113 0.500 0.787
H: 0.887 0.000 0.713
H: 0.887 0.500 0.213
H: 0.113 0.000 0.287

Distance to the lowest polymorph of the same formula ... 0.0134 eV/atom
Calculated volume ... 15.831 A^3/atom
Raw total energy ... -16.44 eV/f.u.
Magnetic moment ... 11.07 Bohr magnetons per cell